[1]
First-principles (GGA-PBE) data for an optimized crystal structure of PuUNiIr, as listed in the Open Quantum Materials Database.

a = 4.5679 Å, b = 4.5679 Å, c = 4.5679 Å
α = 60.00°, β = 60.00°, γ = 60.00°
Positions (direct):
Pu (0.0000, 0.0000, 0.0000)
U (0.7500, 0.7500, 0.7500)
Ni (0.2500, 0.2500, 0.2500)
Ir (0.5000, 0.5000, 0.5000)

Computed properties:
Crystal system: cubic
SG: F-43m (216)
Size of the total moment (Bohr magnetons per cell): 4.9
ΔE_f (eV per atom): -0.520

[2]
First-principles (GGA-PBE) data for an optimized crystal structure of RbNiIrS3, as listed in the Open Quantum Materials Database.

a = 7.5824 Å, b = 7.5824 Å, c = 9.4002 Å
α = 90.00°, β = 90.00°, γ = 152.18°
Positions (direct):
Rb (0.2488, 0.7512, 0.7500)
Rb (0.7512, 0.2488, 0.2500)
Ni (0.4752, 0.5248, 0.2500)
Ni (0.5248, 0.4752, 0.7500)
Ir (0.0000, 0.0000, 0.0000)
Ir (0.0000, 0.0000, 0.5000)
S (0.0626, 0.9374, 0.2500)
S (0.3973, 0.6027, 0.0507)
S (0.3973, 0.6027, 0.4493)
S (0.6027, 0.3973, 0.5507)
S (0.6027, 0.3973, 0.9493)
S (0.9374, 0.0626, 0.7500)

Computed properties:
Crystal system: orthorhombic
SG: Cmcm (63)
Calculated total energy (eV for the cell shown): -61.4
Size of the total moment (Bohr magnetons per cell): 1.5

[3]
First-principles (GGA-PBE) data for an optimized crystal structure of RbNiIrSe3, as listed in the Open Quantum Materials Database.

a = 7.9008 Å, b = 7.9008 Å, c = 9.8090 Å
α = 90.00°, β = 90.00°, γ = 152.11°
Positions (direct):
Rb (0.2458, 0.7542, 0.7500)
Rb (0.7542, 0.2458, 0.2500)
Ni (0.4729, 0.5271, 0.2500)
Ni (0.5271, 0.4729, 0.7500)
Ir (0.0000, 0.0000, 0.0000)
Ir (0.0000, 0.0000, 0.5000)
Se (0.0637, 0.9363, 0.2500)
Se (0.3947, 0.6053, 0.0470)
Se (0.3947, 0.6053, 0.4530)
Se (0.6053, 0.3947, 0.5470)
Se (0.6053, 0.3947, 0.9530)
Se (0.9363, 0.0637, 0.7500)

Computed properties:
Crystal system: orthorhombic
SG: Cmcm (63)
Calculated total energy (eV for the cell shown): -56.8
Size of the total moment (Bohr magnetons per cell): 1.6

[4]
First-principles (GGA-PBE) data for an optimized crystal structure of NiIr2S4, as listed in the Open Quantum Materials Database.

a = 6.9150 Å, b = 6.9150 Å, c = 6.9150 Å
α = 120.08°, β = 120.08°, γ = 89.86°
Positions (direct):
Ni (0.3750, 0.6250, 0.7500)
Ni (0.6250, 0.3750, 0.2500)
Ir (0.0000, 0.0000, 0.0000)
Ir (0.0000, 0.0000, 0.5000)
Ir (0.0000, 0.5000, 0.0000)
Ir (0.5000, 0.0000, 0.5000)
S (0.2308, 0.2432, 0.9876)
S (0.2432, 0.2308, 0.4876)
S (0.2432, 0.7556, 0.0124)
S (0.2444, 0.7568, 0.4876)
S (0.7556, 0.2432, 0.5124)
S (0.7568, 0.2444, 0.9876)
S (0.7568, 0.7692, 0.5124)
S (0.7692, 0.7568, 0.0124)

Computed properties:
Crystal system: tetragonal
SG: I4_1/amd (141)
Calculated total energy (eV for the cell shown): -84.6
Size of the total moment (Bohr magnetons per cell): 0.0

[5]
First-principles (GGA-PBE) data for an optimized crystal structure of ScNiSb2Ir2, as listed in the Open Quantum Materials Database.

a = 4.4340 Å, b = 8.5535 Å, c = 6.1874 Å
α = 90.00°, β = 90.00°, γ = 90.00°
Positions (direct):
Sc (0.0000, 0.1267, 0.0000)
Sc (0.5000, 0.8733, 0.5000)
Ni (0.0000, 0.6132, 0.9901)
Ni (0.5000, 0.3868, 0.4901)
Sb (0.0000, 0.1224, 0.4997)
Sb (0.0000, 0.6230, 0.4624)
Sb (0.5000, 0.3770, 0.9624)
Sb (0.5000, 0.8776, 0.9997)
Ir (0.0000, 0.3812, 0.7261)
Ir (0.0000, 0.8558, 0.7550)
Ir (0.5000, 0.1442, 0.2550)
Ir (0.5000, 0.6188, 0.2261)

Computed properties:
Crystal system: orthorhombic
SG: Pmn2_1 (31)
Calculated total energy (eV for the cell shown): -81.1
Size of the total moment (Bohr magnetons per cell): 0.0

[6]
First-principles (GGA-PBE) data for an optimized crystal structure of TaNiSbIr, as listed in the Open Quantum Materials Database.

a = 4.5166 Å, b = 4.5166 Å, c = 4.5166 Å
α = 60.00°, β = 60.00°, γ = 60.00°
Positions (direct):
Ta (0.0000, 0.0000, 0.0000)
Ni (0.5000, 0.5000, 0.5000)
Sb (0.2500, 0.2500, 0.2500)
Ir (0.7500, 0.7500, 0.7500)

Computed properties:
Crystal system: cubic
SG: F-43m (216)
Calculated total energy (eV for the cell shown): -30.3
Size of the total moment (Bohr magnetons per cell): 0.0

[7]
First-principles (GGA-PBE) data for an optimized crystal structure of ScNiIr2, as listed in the Open Quantum Materials Database.

a = 4.3908 Å, b = 4.3908 Å, c = 4.3908 Å
α = 60.00°, β = 60.00°, γ = 60.00°
Positions (direct):
Sc (0.0000, 0.0000, 0.0000)
Ni (0.7500, 0.7500, 0.7500)
Ir (0.2500, 0.2500, 0.2500)
Ir (0.5000, 0.5000, 0.5000)

Computed properties:
Crystal system: cubic
SG: F-43m (216)
Size of the total moment (Bohr magnetons per cell): 0.9
ΔE_f (eV per atom): -0.238

[8]
First-principles (GGA-PBE) data for an optimized crystal structure of ScSi2NiIr, as listed in the Open Quantum Materials Database.

a = 5.6831 Å, b = 5.6831 Å, c = 5.6831 Å
α = 140.16°, β = 140.16°, γ = 57.62°
Positions (direct):
Sc (0.0000, 0.0000, 0.0000)
Si (0.3841, 0.3841, 0.0000)
Si (0.6159, 0.6159, 0.0000)
Ni (0.7500, 0.2500, 0.5000)
Ir (0.2500, 0.7500, 0.5000)

Computed properties:
Crystal system: tetragonal
SG: I-4m2 (119)
Calculated total energy (eV for the cell shown): -35.9
Size of the total moment (Bohr magnetons per cell): 0.0